Entry 1:
This record from the Alexandria database describes a relaxed K2TiPdS4 crystal. The functional is PBE-GGA.

Unit cell a=5.8458 b=13.1692 c=23.1071 alpha=90.00 beta=90.00 gamma=90.00
Closest atoms and distances in Å follow each position.
Space group Fddd (No. 70, origin choice 2)
Asymmetric unit:
K (0.1250, 0.1250, 0.3045)  8 S 3.46-3.63
Ti (0.1250, 0.1250, 0.1250)  4 S 2.27
Pd (0.1250, 0.1250, 0.6250)  4 S 2.40
S (0.1075, 0.2746, 0.4292)  1 Ti 2.27, 1 Pd 2.40

Results
- Energy: -4.967 eV per atom
- Formation energy without anion corrections: -993 meV/atom
- Size of the total moment: 0.21 μB per atom

---

Entry 2:
This record from the Alexandria database describes a relaxed Tm4BeTe2Se crystal. The functional is PBE-GGA.

Unit cell a=7.2192 b=4.0204 c=7.3683 alpha=90.00 beta=107.91 gamma=90.00
Closest atoms and distances in Å follow each position.
Space group P2/m (No. 10)
Asymmetric unit:
Tm (0.2236, 0.0000, 0.2148)  2 Be 2.75, 1 Se 2.90, 1 Te 3.02
Tm (0.2424, 0.5000, 0.7843)  1 Be 2.70, 2 Se 2.86
Be (0.0000, 0.5000, 0.0000)  6 Tm 2.70-2.75
Te (0.0000, 0.0000, 0.5000)  6 Tm 3.02-3.04
Te (0.5000, 0.5000, 0.5000)  6 Tm 3.14-3.20
Se (0.5000, 0.0000, 0.0000)  6 Tm 2.86-2.90

Results
- Energy: -4.959 eV per atom
- Formation energy without anion corrections: -1036 meV/atom
- Size of the total moment: 0.00 μB per atom

---

Entry 3:
This record from the Alexandria database describes a relaxed ScTcIF2 crystal. The functional is PBE-GGA.

Unit cell a=4.0268 b=4.0268 c=6.3234 alpha=90.00 beta=90.00 gamma=90.00
Closest atoms and distances in Å follow each position.
Space group P4/mmm (No. 123)
Asymmetric unit:
Sc (0.0000, 0.0000, 0.0000)  4 F 2.01
Tc (0.5000, 0.5000, 0.5000)  4 I 2.85
I (0.0000, 0.0000, 0.5000)  4 Tc 2.85, 2 Sc 3.16
F (0.0000, 0.5000, 0.0000)  2 Sc 2.01

Results
- Energy: -5.753 eV per atom
- Formation energy without anion corrections: -1355 meV/atom
- Size of the total moment: 0.52 μB per atom

---

Entry 4:
This record from the Alexandria database describes a relaxed La2InRe crystal. The functional is PBE-GGA.

Unit cell a=3.5466 b=3.5466 c=30.6640 alpha=90.00 beta=90.00 gamma=120.00
Closest atoms and distances in Å follow each position.
Space group R-3m (No. 166, hexagonal axes)
Asymmetric unit:
La (0.0000, 0.0000, 0.2373)  3 Re 2.98
In (0.0000, 0.0000, 0.0000)  6 In 3.55, 6 La 3.59
Re (0.0000, 0.0000, 0.5000)  6 La 2.98

Results
- Energy: -5.975 eV per atom
- Energy of formation from the pure elements: 0.29 eV/atom
- Size of the total moment: 0.00 μB per atom

---

Entry 5:
This record from the Alexandria database describes a relaxed Y2FeCl crystal. The functional is PBE-GGA.

Unit cell a=4.6910 b=3.3908 c=10.8306 alpha=90.00 beta=90.00 gamma=90.00
Closest atoms and distances in Å follow each position.
Space group Amm2 (No. 38)
Asymmetric unit:
Y (0.0000, 0.0000, 0.0000)  3 Cl 2.84-3.08, 4 Fe 2.91
Y (0.5000, 0.0000, 0.2678)  1 Fe 2.77, 4 Cl 2.91
Fe (0.5000, 0.0000, 0.5233)  5 Y 2.77-2.91
Cl (0.0000, 0.0000, 0.7375)  7 Y 2.84-3.08

Results
- Energy: -6.198 eV per atom
- Formation energy without anion corrections: -389 meV/atom
- Size of the total moment: 0.34 μB per atom
- Excess energy over the best structure of this formula in the dataset: 0.996 eV per formula unit

---

Entry 6:
This record from the Alexandria database describes a relaxed Dy3ZnSeCl crystal. The functional is PBE-GGA.

Unit cell a=7.3424 b=3.8517 c=10.7761 alpha=90.00 beta=103.63 gamma=90.00
Closest atoms and distances in Å follow each position.
Space group P2_1/m (No. 11)
Asymmetric unit:
Dy (0.0459, 0.2500, 0.1714)  1 Cl 2.87, 3 Se 2.94, 2 Zn 2.96
Dy (0.2080, 0.7500, 0.4995)  3 Cl 2.85-3.00, 3 Zn 2.95-2.97
Dy (0.4376, 0.7500, 0.8413)  1 Cl 2.89, 3 Se 2.92-2.93, 2 Zn 3.01
Zn (0.1489, 0.2500, 0.6960)  7 Dy 2.95-3.01
Se (0.2629, 0.7500, 0.0585)  6 Dy 2.92-2.94
Cl (0.3831, 0.2500, 0.3702)  5 Dy 2.85-3.00

Results
- Energy: -4.523 eV per atom
- Formation energy without anion corrections: -1121 meV/atom
- Size of the total moment: 0.00 μB per atom

---

Entry 7:
This record from the Alexandria database describes a relaxed HfSbPI2 crystal. The functional is PBE-GGA.

Unit cell a=5.1809 b=5.1809 c=5.4972 alpha=90.00 beta=90.00 gamma=90.00
Closest atoms and distances in Å follow each position.
Space group P4/mmm (No. 123)
Asymmetric unit:
Hf (0.0000, 0.0000, 0.0000)  4 Sb 3.66, 8 I 3.78
Sb (0.5000, 0.5000, 0.0000)  2 P 2.75
P (0.5000, 0.5000, 0.5000)  4 I 2.59, 2 Sb 2.75
I (0.0000, 0.5000, 0.5000)  2 P 2.59

Results
- Energy: -3.714 eV per atom
- Formation energy without anion corrections: 803 meV/atom
- Size of the total moment: 0.18 μB per atom
- Excess energy over the best structure of this formula in the dataset: 1.609 eV per formula unit

---

Entry 8:
This record from the Alexandria database describes a relaxed ZnAg2PBr crystal. The functional is PBE-GGA.

Unit cell a=4.8207 b=4.8207 c=5.4125 alpha=90.00 beta=90.00 gamma=90.00
Closest atoms and distances in Å follow each position.
Space group P4/mmm (No. 123)
Asymmetric unit:
Zn (0.0000, 0.0000, 0.0000)  4 Br 3.41, 8 Ag 3.62
Ag (0.0000, 0.5000, 0.5000)  2 P 2.41
P (0.5000, 0.5000, 0.5000)  4 Ag 2.41
Br (0.5000, 0.5000, 0.0000)  2 P 2.71

Results
- Energy: -2.521 eV per atom
- Formation energy without anion corrections: 291 meV/atom
- Size of the total moment: 0.00 μB per atom